10
Lattice="-1.348 -4.444 -4.610 0.380 -4.758 4.476 -4.061 0.416 0.787" Properties=species:S:1:pos:R:3 comment="Zr2Zn2Cu PBE relaxed" delta_e_f_ev_per_atom=-0.178 total_energy_ev_per_cell=-49.3 de_polymorph_ev_per_atom=0.003 pbc="T T T"
Zn -0.164 -5.737 2.189
Zn -0.925 -6.866 -1.145
Zn -0.805 -3.465 -2.323
Zn -0.044 -2.337 1.011
Cu 0.000 0.000 0.000
Cu -0.484 -4.601 -0.067
Zr -2.005 -3.734 2.609
Zr -2.619 -6.719 1.021
Zr -3.025 -5.052 -1.956
Zr -2.411 -2.067 -0.368